Record 1
A plane-wave DFT calculation with GGA-PBE was carried out for LaY2Tl2 after structural relaxation.

a = 9.142 Å, b = 9.142 Å, c = 3.673 Å
α = 90.00°, β = 90.00°, γ = 90.00°
Positions (direct):
La1 0.500 0.500 0.000
La2 0.000 0.000 0.000
Tl1 0.661 0.161 0.000
Tl2 0.161 0.339 0.000
Tl3 0.339 0.839 0.000
Tl4 0.839 0.661 0.000
Y1 0.858 0.358 0.500
Y2 0.142 0.642 0.500
Y3 0.642 0.858 0.500
Y4 0.358 0.142 0.500

## Properties
E_form: -330 meV/atom
Distance to the lowest polymorph of the same formula: 0 meV per atom

---

Record 2
A plane-wave DFT calculation with GGA-PBE was carried out for LaNiW2 after structural relaxation.

a = 2.884 Å, b = 2.884 Å, c = 9.079 Å
α = 90.00°, β = 90.00°, γ = 108.75°
Positions (direct):
La1 0.000 0.000 0.516
Ni1 0.500 0.500 0.784
W1 0.500 0.500 0.214
W2 0.000 0.000 0.986

## Properties
E_form: 424 meV/atom
Distance to the lowest polymorph of the same formula: 116 meV per atom

---

Record 3
A plane-wave DFT calculation with GGA-PBE was carried out for LaSn2Au after structural relaxation.

a = 4.723 Å, b = 4.723 Å, c = 10.937 Å
α = 77.53°, β = 77.53°, γ = 90.00°
Positions (direct):
Sn1 0.688 0.125 0.250
Sn2 0.375 0.312 0.750
Sn3 0.062 0.625 0.250
Sn4 0.875 0.938 0.750
Au1 0.750 0.250 0.500
Au2 0.000 0.000 0.000
La1 0.500 0.500 0.000
La2 0.250 0.750 0.500

## Properties
E_form: -399 meV/atom

---

Record 4
A plane-wave DFT calculation with GGA-PBE was carried out for SrPm6Y8 after structural relaxation.

a = 8.326 Å, b = 8.326 Å, c = 8.326 Å
α = 72.41°, β = 72.41°, γ = 72.41°
Positions (direct):
Y1 0.379 0.054 0.864
Y2 0.864 0.379 0.054
Y3 0.238 0.238 0.238
Y4 0.762 0.762 0.762
Y5 0.621 0.946 0.136
Y6 0.136 0.621 0.946
Y7 0.946 0.136 0.621
Y8 0.054 0.864 0.379
Pm1 0.615 0.173 0.436
Pm2 0.385 0.827 0.564
Pm3 0.436 0.615 0.173
Pm4 0.827 0.564 0.385
Pm5 0.564 0.385 0.827
Pm6 0.173 0.436 0.615
Sr1 0.000 0.000 0.000

## Properties
E_form: 220 meV/atom

---

Record 5
A plane-wave DFT calculation with GGA-PBE was carried out for YGeRu3 after structural relaxation.

a = 4.607 Å, b = 4.607 Å, c = 4.607 Å
α = 90.00°, β = 90.00°, γ = 90.00°
Positions (direct):
Y1 0.500 0.500 0.500
Ru1 0.000 0.500 0.000
Ru2 0.000 0.000 0.500
Ru3 0.500 0.000 0.000
Ge1 0.000 0.000 0.000

## Properties
E_form: 286 meV/atom
Distance to the lowest polymorph of the same formula: 0 meV per atom

---

Record 6
A plane-wave DFT calculation with GGA-PBE was carried out for Sr3Li3Tl8 after structural relaxation.

a = 5.206 Å, b = 9.431 Å, c = 9.463 Å
α = 64.42°, β = 74.03°, γ = 73.98°
Positions (direct):
Li1 0.000 0.500 0.500
Li2 0.340 0.325 0.995
Li3 0.660 0.675 0.005
Sr1 0.000 0.000 0.000
Sr2 0.710 0.280 0.301
Sr3 0.290 0.720 0.699
Tl1 0.508 0.660 0.325
Tl2 0.644 0.962 0.750
Tl3 0.143 0.151 0.563
Tl4 0.857 0.849 0.437
Tl5 0.148 0.563 0.141
Tl6 0.492 0.340 0.675
Tl7 0.356 0.038 0.250
Tl8 0.852 0.437 0.859

## Properties
E_form: -278 meV/atom

---

Record 7
A plane-wave DFT calculation with GGA-PBE was carried out for LiY2Mo after structural relaxation.

a = 5.686 Å, b = 5.686 Å, c = 5.362 Å
α = 75.22°, β = 75.22°, γ = 33.43°
Last column: magnetic moment on the atom in μB.
Positions (direct):
Li1 0.531 0.531 0.519  0.00
Mo1 0.228 0.228 0.210  0.15
Y1 0.974 0.974 0.072  -0.01
Y2 0.767 0.767 0.700  0.01

## Properties
E_form: 349 meV/atom
Distance to the lowest polymorph of the same formula: 119 meV per atom

---

Record 8
A plane-wave DFT calculation with GGA-PBE was carried out for Ac2NiPd after structural relaxation.

a = 4.591 Å, b = 4.121 Å, c = 6.110 Å
α = 109.71°, β = 90.00°, γ = 90.00°
Positions (direct):
Pd1 0.500 0.545 0.090
Ni1 0.000 0.707 0.413
Ac1 0.000 0.989 0.978
Ac2 0.500 0.259 0.517

## Properties
E_form: -520 meV/atom

---

Record 9
A plane-wave DFT calculation with GGA-PBE was carried out for Pm2Pr2Te5 after structural relaxation.

a = 7.931 Å, b = 8.484 Å, c = 11.026 Å
α = 112.63°, β = 111.08°, γ = 90.00°
Positions (direct):
Pm1 0.280 0.413 0.500
Pm2 0.500 0.435 0.000
Pm3 0.720 0.913 0.500
Pm4 0.000 0.935 0.000
Pr1 0.405 0.932 0.794
Pr2 0.890 0.432 0.794
Pr3 0.110 0.638 0.206
Pr4 0.595 0.138 0.206
Te1 0.684 0.712 0.693
Te2 0.247 0.665 0.876
Te3 0.753 0.789 0.124
Te4 0.316 0.019 0.307
Te5 0.927 0.233 0.500
Te6 0.871 0.289 0.124
Te7 0.509 0.212 0.693
Te8 0.129 0.165 0.876
Te9 0.491 0.519 0.307
Te10 0.073 0.733 0.500

## Properties
Total energy: -5.12 eV per atom

---

Record 10
A plane-wave DFT calculation with GGA-PBE was carried out for Co2HW after structural relaxation.

a = 2.616 Å, b = 2.616 Å, c = 6.001 Å
α = 90.00°, β = 90.00°, γ = 90.00°
Last column: magnetic moment on the atom in μB.
Positions (direct):
H1 0.500 0.500 0.000  0.00
Co1 0.000 0.000 0.191  0.50
Co2 0.000 0.000 0.809  0.50
W1 0.500 0.500 0.500  -0.09

## Properties
Distance to the lowest polymorph of the same formula: 222 meV per atom

---

Record 11
A plane-wave DFT calculation with GGA-PBE was carried out for SiAg2Te3 after structural relaxation.

a = 7.277 Å, b = 7.691 Å, c = 7.691 Å
α = 119.56°, β = 90.00°, γ = 90.00°
Positions (direct):
Si1 0.036 0.839 0.839
Si2 0.536 0.161 0.161
Te1 0.403 0.849 0.849
Te2 0.903 0.151 0.151
Te3 0.446 0.158 0.475
Te4 0.446 0.475 0.158
Te5 0.946 0.842 0.525
Te6 0.946 0.525 0.842
Ag1 0.064 0.499 0.178
Ag2 0.564 0.822 0.501
Ag3 0.564 0.501 0.822
Ag4 0.064 0.178 0.499

## Properties
Total energy: -3.50 eV per atom

---

Record 12
A plane-wave DFT calculation with GGA-PBE was carried out for Th2SiAg after structural relaxation.

a = 3.755 Å, b = 3.755 Å, c = 7.092 Å
α = 90.00°, β = 90.00°, γ = 90.00°
Positions (direct):
Ag1 0.500 0.500 0.500
Si1 0.500 0.500 0.000
Th1 0.000 0.000 0.231
Th2 0.000 0.000 0.769

## Properties
Total energy: -6.05 eV per atom

---

Record 13
A plane-wave DFT calculation with GGA-PBE was carried out for SrLiOs after structural relaxation.

a = 5.695 Å, b = 5.695 Å, c = 5.695 Å
α = 151.99°, β = 135.28°, γ = 53.60°
Positions (direct):
Os1 0.365 0.365 0.000
Sr1 0.676 0.676 0.000
Li1 0.959 0.959 0.000

## Properties
E_form: 611 meV/atom
Distance to the lowest polymorph of the same formula: 0 meV per atom

---

Record 14
A plane-wave DFT calculation with GGA-PBE was carried out for Pu4I3Cl7 after structural relaxation.

a = 4.588 Å, b = 9.434 Å, c = 9.909 Å
α = 71.83°, β = 76.61°, γ = 75.93°
Last column: magnetic moment on the atom in μB.
Positions (direct):
Pu1 0.895 0.912 0.299  -5.42
Pu2 0.105 0.088 0.701  -5.42
Pu3 0.331 0.566 0.773  5.46
Pu4 0.669 0.434 0.227  5.46
Cl1 0.689 0.149 0.474  0.01
Cl2 0.311 0.851 0.526  0.01
Cl3 0.170 0.581 0.079  -0.04
Cl4 0.508 0.753 0.231  0.01
Cl5 0.492 0.247 0.769  0.01
Cl6 0.830 0.419 0.921  -0.04
Cl7 0.000 0.000 0.000  0.04
I1 0.685 0.818 0.812  0.00
I2 0.000 0.500 0.500  -0.01
I3 0.315 0.182 0.188  0.00

## Properties
Total energy: -6.92 eV per atom

---

Record 15
A plane-wave DFT calculation with GGA-PBE was carried out for Na2AuCl6 after structural relaxation.

a = 6.695 Å, b = 7.169 Å, c = 9.928 Å
α = 90.00°, β = 95.74°, γ = 90.00°
Last column: magnetic moment on the atom in μB.
Positions (direct):
Na1 0.953 0.424 0.769  0.00
Na2 0.453 0.076 0.269  0.00
Na3 0.547 0.924 0.731  0.00
Na4 0.047 0.576 0.231  0.00
Cl1 0.864 0.936 0.276  0.03
Cl2 0.783 0.686 0.966  0.03
Cl3 0.305 0.793 0.086  0.24
Cl4 0.695 0.207 0.914  0.24
Cl5 0.805 0.707 0.586  0.24
Cl6 0.283 0.814 0.466  0.03
Cl7 0.217 0.314 0.034  0.03
Cl8 0.364 0.564 0.776  0.03
Cl9 0.195 0.293 0.414  0.24
Cl10 0.717 0.186 0.534  0.03
Cl11 0.136 0.064 0.724  0.03
Cl12 0.636 0.436 0.224  0.03
Au1 0.500 0.500 0.000  0.28
Au2 0.000 0.000 0.500  0.28

## Properties
Total energy: -2.74 eV per atom

---

Record 16
A plane-wave DFT calculation with GGA-PBE was carried out for Pr2NdSm2Er2 after structural relaxation.

a = 5.125 Å, b = 6.273 Å, c = 8.125 Å
α = 97.41°, β = 90.00°, γ = 114.11°
Positions (direct):
Nd1 0.000 0.000 0.000
Pr1 0.143 0.287 0.429
Pr2 0.857 0.713 0.571
Er1 0.285 0.569 0.860
Er2 0.715 0.431 0.140
Sm1 0.571 0.143 0.718
Sm2 0.429 0.857 0.282

## Properties
E_form: 18 meV/atom

---

Record 17
A plane-wave DFT calculation with GGA-PBE was carried out for YEr3C8 after structural relaxation.

a = 6.040 Å, b = 6.312 Å, c = 6.041 Å
α = 65.11°, β = 83.09°, γ = 114.89°
Positions (direct):
Er1 0.207 0.500 0.293
Er2 0.707 0.500 0.793
Er3 0.507 0.000 0.493
C1 0.390 0.000 0.115
C2 0.427 0.000 0.899
C3 0.885 0.000 0.610
C4 0.589 0.671 0.411
C5 0.645 0.515 0.355
C6 0.918 0.329 0.082
C7 0.101 0.000 0.573
C8 0.130 0.485 0.870
Y1 0.995 0.000 0.005

## Properties
E_form: 124 meV/atom

---

Record 18
A plane-wave DFT calculation with GGA-PBE was carried out for BTePtN2 after structural relaxation.

a = 3.686 Å, b = 3.686 Å, c = 9.108 Å
α = 90.00°, β = 90.00°, γ = 90.00°
Positions (direct):
Te1 0.000 0.000 0.500
B1 0.500 0.500 0.500
N1 0.500 0.000 0.000
N2 0.000 0.500 0.000
Pt1 0.000 0.000 0.000

## Properties
Distance to the lowest polymorph of the same formula: 56 meV per atom

---

Record 19
A plane-wave DFT calculation with GGA-PBE was carried out for Pt2PbBr after structural relaxation.

a = 3.432 Å, b = 5.241 Å, c = 4.554 Å
α = 90.00°, β = 90.00°, γ = 90.00°
Positions (direct):
Pb1 0.000 0.500 0.500
Pt1 0.000 0.000 0.000
Pt2 0.500 0.500 0.000
Br1 0.500 0.000 0.500

## Properties
Distance to the lowest polymorph of the same formula: 304 meV per atom

---

Record 20
A plane-wave DFT calculation with GGA-PBE was carried out for PrAl2GaPt4 after structural relaxation.

a = 4.311 Å, b = 4.311 Å, c = 9.248 Å
α = 76.52°, β = 76.52°, γ = 60.00°
Positions (direct):
Pr1 0.000 0.000 0.000
Pt1 0.405 0.405 0.785
Pt2 0.595 0.595 0.215
Pt3 0.865 0.865 0.406
Pt4 0.135 0.135 0.594
Al1 0.241 0.241 0.277
Al2 0.759 0.759 0.723
Ga1 0.500 0.500 0.500

## Properties
E_form: -964 meV/atom